# Tc4Br5 PBE relaxed
data_Tc4Br5
_chemical_formula_sum 'Tc8 Br10'
_symmetry_space_group_name_H-M 'P 1'
_symmetry_Int_Tables_number 1
_symmetry_space_group_name_Hall 'P 1'
_cell_length_a 8.931
_cell_length_b 8.931
_cell_length_c 6.198
_cell_angle_alpha 90.00
_cell_angle_beta 90.00
_cell_angle_gamma 120.00
loop_
_atom_site_label
_atom_site_type_symbol
_atom_site_fract_x
_atom_site_fract_y
_atom_site_fract_z
_atom_site_occupancy
Tc1 Tc 0.518 0.000 0.750 1
Tc2 Tc 0.000 0.482 0.250 1
Tc3 Tc 0.000 0.000 0.500 1
Tc4 Tc 0.000 0.518 0.750 1
Tc5 Tc 0.482 0.000 0.250 1
Tc6 Tc 0.000 0.000 0.000 1
Tc7 Tc 0.482 0.482 0.750 1
Tc8 Tc 0.518 0.518 0.250 1
Br1 Br 0.333 0.667 0.500 1
Br2 Br 0.000 0.774 0.250 1
Br3 Br 0.667 0.333 0.000 1
Br4 Br 0.333 0.667 0.000 1
Br5 Br 0.774 0.000 0.250 1
Br6 Br 0.774 0.774 0.750 1
Br7 Br 0.226 0.000 0.750 1
Br8 Br 0.226 0.226 0.250 1
Br9 Br 0.667 0.333 0.500 1
Br10 Br 0.000 0.226 0.750 1
# - final energy (eV/atom) = -4.588
# - formation energy without anion corrections (eV/atom) = 0.949

***

# Ce3Co3Ge PBE relaxed
data_Ce3Co3Ge
_chemical_formula_sum 'Ce6 Co6 Ge2'
_symmetry_space_group_name_H-M 'P 1'
_symmetry_Int_Tables_number 1
_symmetry_space_group_name_Hall 'P 1'
_cell_length_a 4.298
_cell_length_b 4.865
_cell_length_c 13.948
_cell_angle_alpha 90.00
_cell_angle_beta 90.00
_cell_angle_gamma 116.21
loop_
_atom_site_label
_atom_site_type_symbol
_atom_site_fract_x
_atom_site_fract_y
_atom_site_fract_z
_atom_site_occupancy
Ce1 Ce 0.796 0.592 0.394 1
Ce2 Ce 0.204 0.408 0.894 1
Ce3 Ce 0.495 0.990 0.250 1
Ce4 Ce 0.204 0.408 0.606 1
Ce5 Ce 0.505 0.010 0.750 1
Ce6 Ce 0.796 0.592 0.106 1
Co1 Co 0.945 0.889 0.909 1
Co2 Co 0.055 0.111 0.091 1
Co3 Co 0.055 0.111 0.409 1
Co4 Co 0.945 0.889 0.591 1
Co5 Co 0.233 0.465 0.250 1
Co6 Co 0.767 0.535 0.750 1
Ge1 Ge 0.500 0.000 0.500 1
Ge2 Ge 0.500 0.000 0.000 1
# - final energy (eV/atom) = -6.647

***

# SrCd2O3 PBE relaxed
data_SrCd2O3
_chemical_formula_sum 'Sr2 Cd4 O6'
_symmetry_space_group_name_H-M 'P 1'
_symmetry_Int_Tables_number 1
_symmetry_space_group_name_Hall 'P 1'
_cell_length_a 3.474
_cell_length_b 5.007
_cell_length_c 10.275
_cell_angle_alpha 90.00
_cell_angle_beta 90.00
_cell_angle_gamma 90.00
loop_
_atom_site_label
_atom_site_type_symbol
_atom_site_fract_x
_atom_site_fract_y
_atom_site_fract_z
_atom_site_occupancy
O1 O 0.250 0.500 0.322 1
O2 O 0.250 0.500 0.678 1
O3 O 0.750 0.000 0.178 1
O4 O 0.750 0.000 0.822 1
O5 O 0.249 0.500 0.000 1
O6 O 0.751 0.000 0.500 1
Cd1 Cd 0.250 0.000 0.669 1
Cd2 Cd 0.750 0.500 0.831 1
Cd3 Cd 0.750 0.500 0.169 1
Cd4 Cd 0.250 0.000 0.331 1
Sr1 Sr 0.750 0.500 0.500 1
Sr2 Sr 0.250 0.000 0.000 1
# - final energy (eV/atom) = -4.660
# - formation energy without anion corrections (eV/atom) = -1.595

***

The calculation returns the following excess energy over the best structure of this formula in the dataset values, one per record and in order: 140.5; 0.0; 0.0 meV per atom.